The following is a DFT calculation (PBE+U) of crystalline AgIrWF2 at its relaxed geometry.

abc: 4.093 5.173 4.093
angles: 90.00 90.00 90.00
Fractional positions:
Ir  0.000  0.500  0.000
Ag  0.500  0.500  0.500
W  0.000  0.000  0.000
F  0.000  0.000  0.500
F  0.500  0.000  0.000

E_tot   -25.17 eV for the cell shown